No. 1
## LiLaC (PBE-GGA)

Data for an optimized crystal structure of LiLaC.

Summary:
SG: P-1
offset from the most stable computed form: 0.049 eV per atom
V: 74.30 Å³/f.u.
ΔH_f (0 K): -0.01 eV per atom

abc: 7.3876 4.0966 5.9913
angles: 93.16 98.67 56.05
Positions (direct):
Li 0.1994 0.7928 0.7368
Li 0.8006 0.2072 0.2632
La 0.2542 0.1673 0.2207
La 0.7458 0.8327 0.7793
C 0.0599 0.8199 0.0505
C 0.9401 0.1801 0.9495

No. 2
## RbBaCa (PBE-GGA)

Data for an optimized crystal structure of RbBaCa.

Summary:
SG: P3m1
offset from the most stable computed form: 0.003 eV per atom
V: 182.51 Å³/f.u.
ΔH_f (0 K): 0.13 eV per atom

abc: 4.3376 4.3376 11.2008
angles: 90.00 90.00 120.00
Positions (direct):
Ca 0.6667 0.3333 0.3475
Ba 0.3333 0.6667 0.6431
Rb 0.0000 0.0000 0.0094

No. 3
## LuPuAgGe (PBE-GGA)

Data for an optimized crystal structure of LuPuAgGe.

Summary:
SG: F-43m
V: 91.67 Å³/f.u.
ΔH_f (0 K): -0.34 eV per atom

abc: 5.0612 5.0612 5.0612
angles: 60.00 60.00 60.00
Site moments in Bohr magnetons follow the coordinates.
Positions (direct):
Ge 0.2500 0.2500 0.2500  0.05
Lu 0.5000 0.5000 0.5000  -0.27
Ag 0.7500 0.7500 0.7500  -0.06
Pu 0.0000 0.0000 0.0000  -5.45